## YIr3 (SCAN)

Data for a PBEsol-optimized structure of YIr3.

a b c (Å): 2.809 2.809 9.323
angles (deg): 90.00 90.00 120.00
Fractional positions:
1 Y 0.000 0.000 0.000
2 Ir 0.000 0.000 0.500
3 Ir 0.333 0.667 0.269
4 Ir 0.333 0.667 0.731

Results
Formation energy from the elements: 193 meV per atom
Space-group type: P-6m2
Crystal system: hexagonal
Spin magnetization: 0.00 μB per cell
Energy: -240.37 eV for the cell shown
Density: 17.4 g/cm³

=====

## Tl5C (SCAN)

Data for a PBEsol-optimized structure of Tl5C.

a b c (Å): 3.252 3.252 13.742
angles (deg): 90.00 90.00 90.00
Fractional positions:
1 Tl 0.000 0.000 0.000
2 Tl 0.000 0.000 0.388
3 Tl 0.000 0.000 0.612
4 Tl 0.500 0.500 0.193
5 Tl 0.500 0.500 0.807
6 C 0.500 0.500 0.500

Results
Formation energy from the elements: 830 meV per atom
Space-group type: P4/mmm
Crystal system: tetragonal
Spin magnetization: 0.01 μB per cell
Energy: -366.91 eV for the cell shown
Density: 11.8 g/cm³

=====

## Sr2AlBIr (SCAN)

Data for a PBEsol-optimized structure of Sr2AlBIr.

a b c (Å): 5.805 5.805 4.006
angles (deg): 90.00 90.00 90.00
Fractional positions:
1 Sr 0.000 0.500 0.000
2 Sr 0.500 0.000 0.000
3 Al 0.000 0.000 0.500
4 B 0.500 0.500 0.500
5 Ir 0.500 0.500 0.000

Results
Formation energy from the elements: 124 meV per atom
Space-group type: P4/mmm
Crystal system: tetragonal
Spin magnetization: 0.82 μB per cell
Energy: -130.21 eV for the cell shown
Density: 5.0 g/cm³